Entry from Alexandria: a geometry-optimized NiSO2 structure (PBE+U).

It has space group I-42d (No. 122), with a = 4.0608 Å, b = 4.0608 Å, c = 11.7969 Å, α = 90.00°, β = 90.00° and γ = 90.00°. The asymmetric unit holds Ni at (0.0000, 0.0000, 0.0000), S at (0.0000, 0.0000, 0.5000) and O at (0.2458, 0.2500, 0.6250).

For the energy, the calculation gives -64.50 eV/cell.